Record 1
Sr2Li3Pb5 | GGA-PBE | optimized geometry

Computed properties:
ΔE_f = -0.359 eV/atom
total magnetization = 0.00 μB per atom

Unit cell a=14.9112 b=14.9112 c=7.5788 alpha=90.00 beta=90.00 gamma=160.58
Closest atoms and distances in Å follow each position.
Sites, in units of the cell vectors:
Sr 0.0144 0.9856 0.5000  6 Pb 3.42-3.65, 5 Li 3.46-3.58
Sr 0.3298 0.6702 0.5189  10 Pb 3.52-3.94, 3 Li 3.60-3.74
Sr 0.6702 0.3298 0.0189  10 Pb 3.52-3.94, 3 Li 3.60-3.74
Sr 0.9856 0.0144 0.0000  6 Pb 3.42-3.65, 5 Li 3.46-3.58
Li 0.1056 0.8944 0.7888  4 Pb 3.01-3.10
Li 0.2789 0.7211 0.0238  7 Pb 2.90-3.00
Li 0.4487 0.5513 0.6951  5 Pb 2.89-3.08
Li 0.5513 0.4487 0.1951  5 Pb 2.89-3.08
Li 0.7211 0.2789 0.5238  7 Pb 2.90-3.00
Li 0.8944 0.1056 0.2888  4 Pb 3.01-3.10
Pb 0.0994 0.9006 0.1921  3 Li 2.89-3.06
Pb 0.2099 0.7901 0.7315  4 Li 2.99-3.10, 1 Pb 3.18
Pb 0.2129 0.7871 0.3123  3 Li 2.92-2.99, 1 Pb 3.18
Pb 0.3772 0.6228 0.9926  2 Li 2.90-3.08, 1 Pb 3.16
Pb 0.4509 0.5491 0.2959  4 Li 3.01-3.05, 1 Pb 3.16
Pb 0.5491 0.4509 0.7959  4 Li 3.01-3.05, 1 Pb 3.16
Pb 0.6228 0.3772 0.4926  2 Li 2.90-3.08, 1 Pb 3.16
Pb 0.7871 0.2129 0.8123  3 Li 2.92-2.99, 1 Pb 3.18
Pb 0.7901 0.2099 0.2315  4 Li 2.99-3.10, 1 Pb 3.18
Pb 0.9006 0.0994 0.6921  3 Li 2.89-3.06


Record 2
ScMnNiP2 | GGA-PBE | optimized geometry

Computed properties:
ΔE_f = -0.882 eV/atom
total magnetization = 0.00 μB per atom

Unit cell a=3.7285 b=3.7285 c=9.4579 alpha=90.00 beta=90.00 gamma=90.00
Closest atoms and distances in Å follow each position.
Sites, in units of the cell vectors:
Sc 0.0000 0.0000 0.0000  8 P 2.87, 4 Mn 3.01, 4 Ni 3.01
Sc 0.5000 0.5000 0.5000  8 P 2.87, 4 Mn 3.01, 4 Ni 3.01
Mn 0.0000 0.5000 0.2500  4 P 2.23
Mn 0.5000 0.0000 0.7500  4 P 2.23
Ni 0.0000 0.5000 0.7500  4 P 2.23
Ni 0.5000 0.0000 0.2500  4 P 2.23
P 0.0000 0.0000 0.3799  2 Mn 2.23, 2 Ni 2.23, 1 P 2.27
P 0.0000 0.0000 0.6201  2 Mn 2.23, 2 Ni 2.23, 1 P 2.27
P 0.5000 0.5000 0.1201  2 Mn 2.23, 2 Ni 2.23, 1 P 2.27
P 0.5000 0.5000 0.8799  2 Mn 2.23, 2 Ni 2.23, 1 P 2.27